No. 1
Compound: YTmAu6
Source: Alexandria via LeMat-Bulk
Functional: PBE
Structure: optimized geometry

CIF file:
```
data_YTmAu6
_chemical_formula_sum 'Y2 Tm2 Au12'
_cell_length_a 9.1857
_cell_length_b 4.4892
_cell_length_c 8.9474
_cell_angle_alpha 90.00
_cell_angle_beta 119.04
_cell_angle_gamma 90.00
_space_group_name_H-M_alt 'C 1 2/m 1'
_space_group_IT_number 12
loop_
_space_group_symop_operation_xyz
'x,y,z'
'-x,-y,-z'
'-x,y,-z'
'x,-y,z'
'x+1/2,y+1/2,z'
'-x+1/2,-y+1/2,-z'
'-x+1/2,y+1/2,-z'
'x+1/2,-y+1/2,z'
loop_
_atom_site_label
_atom_site_fract_x
_atom_site_fract_y
_atom_site_fract_z
_atom_site_occupancy
Y1 0.0000 0.0000 0.0000 1
Tm1 0.0000 0.0000 0.5000 1
Au1 0.0027 0.5000 0.7496 1
Au2 0.2481 0.5000 0.6206 1
Au3 0.2496 0.0000 0.8709 1
```

Properties
ρ: 14.822 g/cm3
energy of formation: -0.675 eV/atom
size of the total moment: 0.00 μB per formula unit

---

No. 2
Compound: Y3Tm4Au4
Source: Alexandria via LeMat-Bulk
Functional: PBE
Structure: optimized geometry

CIF file:
```
data_Y3Tm4Au4
_chemical_formula_sum 'Y6 Tm8 Au8'
_cell_length_a 4.7798
_cell_length_b 7.6993
_cell_length_c 15.4697
_cell_angle_alpha 90.00
_cell_angle_beta 90.00
_cell_angle_gamma 90.00
_space_group_name_H-M_alt 'I m m m'
_space_group_IT_number 71
_space_group_name_Hall '-I 2 2'
loop_
_atom_site_label
_atom_site_fract_x
_atom_site_fract_y
_atom_site_fract_z
_atom_site_occupancy
Y1 0.0000 0.0000 0.0000 1
Y2 0.0000 0.5000 0.1045 1
Tm1 0.0000 0.2883 0.3273 1
Au1 0.0000 0.0000 0.2075 1
Au2 0.0000 0.1882 0.5000 1
```

Properties
ρ: 10.094 g/cm3
energy of formation: -0.599 eV/atom
size of the total moment: 0.00 μB per formula unit

---

No. 3
Compound: Y3TmAu2
Source: Alexandria via LeMat-Bulk
Functional: PBE
Structure: optimized geometry

CIF file:
```
data_Y3TmAu2
_chemical_formula_sum 'Y12 Tm4 Au8'
_cell_length_a 7.0087
_cell_length_b 13.8579
_cell_length_c 7.3213
_cell_angle_alpha 90.00
_cell_angle_beta 90.00
_cell_angle_gamma 90.00
_space_group_name_H-M_alt 'I b a m'
_space_group_IT_number 72
_space_group_name_Hall '-I 2 2c'
loop_
_atom_site_label
_atom_site_fract_x
_atom_site_fract_y
_atom_site_fract_z
_atom_site_occupancy
Y1 0.0000 0.0000 0.2500 1
Y2 0.0000 0.2676 0.2500 1
Tm1 0.0000 0.5000 0.0000 1
Au1 0.2079 0.1403 0.0000 1
```

Properties
polymorph energy (0 for the lowest one): 179 meV/atom
ρ: 7.749 g/cm3
energy of formation: -0.465 eV/atom
size of the total moment: 0.00 μB per formula unit

---

No. 4
Compound: YTm3Au4
Source: Alexandria via LeMat-Bulk
Functional: PBE
Structure: optimized geometry

CIF file:
```
data_YTm3Au4
_chemical_formula_sum 'Y3 Tm9 Au12'
_cell_length_a 5.0364
_cell_length_b 5.0364
_cell_length_c 24.8114
_cell_angle_alpha 90.00
_cell_angle_beta 90.00
_cell_angle_gamma 120.00
_space_group_name_H-M_alt 'R -3 m'
_space_group_IT_number 166
_space_group_name_Hall '-R 3 2"'
loop_
_atom_site_label
_atom_site_fract_x
_atom_site_fract_y
_atom_site_fract_z
_atom_site_occupancy
Y1 0.0000 0.0000 0.0000 1
Tm1 0.0000 0.0000 0.2496 1
Tm2 0.0000 0.0000 0.5000 1
Au1 0.0000 0.0000 0.1264 1
Au2 0.0000 0.0000 0.3768 1
```

Properties
ρ: 12.646 g/cm3
energy of formation: -0.882 eV/atom
size of the total moment: 0.00 μB per formula unit

---

No. 5
Compound: YTm4Au5
Source: Alexandria via LeMat-Bulk
Functional: PBE
Structure: optimized geometry

CIF file:
```
data_YTm4Au5
_chemical_formula_sum 'Y1 Tm4 Au5'
_cell_length_a 3.5363
_cell_length_b 3.5363
_cell_length_c 18.0748
_cell_angle_alpha 90.00
_cell_angle_beta 90.00
_cell_angle_gamma 90.00
_space_group_name_H-M_alt 'P 4/m m m'
_space_group_IT_number 123
_space_group_name_Hall '-P 4 2'
loop_
_atom_site_label
_atom_site_fract_x
_atom_site_fract_y
_atom_site_fract_z
_atom_site_occupancy
Y1 0.0000 0.0000 0.0000 1
Tm1 0.0000 0.0000 0.2018 1
Tm2 0.0000 0.0000 0.4006 1
Au1 0.5000 0.5000 0.1045 1
Au2 0.5000 0.5000 0.3012 1
Au3 0.5000 0.5000 0.5000 1
```

Properties
ρ: 12.853 g/cm3
energy of formation: -0.887 eV/atom
size of the total moment: 0.00 μB per formula unit

---

No. 6
Compound: Y2TmAu4
Source: Alexandria via LeMat-Bulk
Functional: PBE
Structure: optimized geometry

CIF file:
```
data_Y2TmAu4
_chemical_formula_sum 'Y4 Tm2 Au8'
_cell_length_a 5.1417
_cell_length_b 5.1417
_cell_length_c 12.9136
_cell_angle_alpha 90.00
_cell_angle_beta 90.00
_cell_angle_gamma 90.00
_space_group_name_H-M_alt 'I 4/m m m'
_space_group_IT_number 139
_space_group_name_Hall '-I 4 2'
loop_
_atom_site_label
_atom_site_fract_x
_atom_site_fract_y
_atom_site_fract_z
_atom_site_occupancy
Y1 0.0000 0.0000 0.2271 1
Tm1 0.0000 0.0000 0.5000 1
Au1 0.0000 0.5000 0.1181 1
```

Properties
ρ: 11.037 g/cm3
energy of formation: -0.710 eV/atom
size of the total moment: 0.00 μB per formula unit